1.
VASP calculation (PBEsol) on crystalline TlCr at its relaxed geometry.

The space group is C2/m (No. 12) and the conventional cell measures 10.7622, 3.1763 and 4.8093 Å, with angles of 90.00, 109.33 and 90.00 degrees. The asymmetric unit holds Tl at (0.1223, 0.0000, 0.2886) and Cr at (0.1243, 0.5000, 0.7914).

The total magnetization is 14.43 Bohr magnetons per cell. The energy is -45.18 eV per cell. For the density of states at the Fermi level, the calculation gives 1.181 states/eV/f.u. The value obtained for the density is 11.0 Mg/m³.

***

2.
VASP calculation (PBEsol) on crystalline TlCrW3 at its relaxed geometry.

The space group is Pm-3m (No. 221) and the conventional cell measures 4.8846, 4.8846 and 4.8846 Å, with angles of 90.00, 90.00 and 90.00 degrees. The asymmetric unit holds Tl at (0.0000, 0.0000, 0.0000), Cr at (0.5000, 0.5000, 0.5000) and W at (0.0000, 0.0000, 0.5000).

The total magnetization is 3.28 Bohr magnetons per cell. The energy is -36.78 eV per cell. For the density of states at the Fermi level, the calculation gives 6.473 states/eV/f.u. The value obtained for the density is 11.5 Mg/m³.

***

3.
VASP calculation (PBEsol) on crystalline TlCrW at its relaxed geometry.

The space group is I4mm (No. 107) and the conventional cell measures 3.1510, 3.1510 and 9.7907 Å, with angles of 90.00, 90.00 and 90.00 degrees. The asymmetric unit holds Tl at (0.0000, 0.0000, 0.0000), Cr at (0.0000, 0.0000, 0.6820) and W at (0.0000, 0.0000, 0.3018).

The total magnetization is 0.00 Bohr magnetons per cell. The energy is -49.31 eV per cell. For the density of states at the Fermi level, the calculation gives 2.694 states/eV/f.u. The value obtained for the density is 15.0 Mg/m³.

***

4.
VASP calculation (PBEsol) on crystalline Tl2ZnCr at its relaxed geometry.

The space group is Cm (No. 8) and the conventional cell measures 12.3249, 3.1121 and 4.6357 Å, with angles of 90.00, 111.92 and 90.00 degrees. The asymmetric unit holds Tl at (0.0000, 0.0000, 0.0000), Tl at (0.2182, 0.0000, 0.7175), Zn at (0.4064, 0.0000, 0.4060) and Cr at (0.2214, 0.5000, 0.2206).

The total magnetization is 6.63 Bohr magnetons per cell. The energy is -30.60 eV per cell. Its offset from the most stable computed form is 0 meV/atom. For the density of states at the Fermi level, the calculation gives 1.781 states/eV/f.u. The value obtained for the density is 10.6 Mg/m³.

***

5.
VASP calculation (PBEsol) on crystalline Tl2ZnCr at its relaxed geometry.

The space group is R-3m (No. 166, hexagonal axes) and the conventional cell measures 3.3098, 3.3098 and 26.3042 Å, with angles of 90.00, 90.00 and 120.00 degrees. The asymmetric unit holds Tl at (0.0000, 0.0000, 0.2503), Zn at (0.0000, 0.0000, 0.5000) and Cr at (0.0000, 0.0000, 0.0000).

The total magnetization is 11.86 Bohr magnetons per cell. The energy is -44.89 eV per cell. Its offset from the most stable computed form is 84 meV/atom. For the density of states at the Fermi level, the calculation gives 2.259 states/eV/f.u. The value obtained for the density is 10.5 Mg/m³.

***

6.
VASP calculation (PBEsol) on crystalline Tl2ZnCr at its relaxed geometry.

The space group is I-4m2 (No. 119) and the conventional cell measures 4.1953, 4.1953 and 9.0865 Å, with angles of 90.00, 90.00 and 90.00 degrees. The asymmetric unit holds Tl at (0.0000, 0.0000, 0.0000), Tl at (0.0000, 0.5000, 0.2500), Zn at (0.0000, 0.0000, 0.5000) and Cr at (0.0000, 0.5000, 0.7500).

The total magnetization is 7.34 Bohr magnetons per cell. The energy is -30.07 eV per cell. Its offset from the most stable computed form is 66 meV/atom. For the density of states at the Fermi level, the calculation gives 2.791 states/eV/f.u. The value obtained for the density is 10.9 Mg/m³.

***

7.
VASP calculation (PBEsol) on crystalline Tl2ZnCr at its relaxed geometry.

The space group is Amm2 (No. 38) and the conventional cell measures 4.4214, 3.5431 and 10.5589 Å, with angles of 90.00, 90.00 and 90.00 degrees. The asymmetric unit holds Tl at (0.0000, 0.0000, 0.0000), Tl at (0.5000, 0.0000, 0.3135), Zn at (0.5000, 0.0000, 0.5850) and Cr at (0.0000, 0.0000, 0.7271).

The total magnetization is 7.71 Bohr magnetons per cell. The energy is -30.51 eV per cell. Its offset from the most stable computed form is 11 meV/atom. For the density of states at the Fermi level, the calculation gives 2.476 states/eV/f.u. The value obtained for the density is 10.6 Mg/m³.

***

8.
VASP calculation (PBEsol) on crystalline ZrTlCr2 at its relaxed geometry.

The space group is I-4m2 (No. 119) and the conventional cell measures 3.9317, 3.9317 and 8.9118 Å, with angles of 90.00, 90.00 and 90.00 degrees. The asymmetric unit holds Zr at (0.0000, 0.0000, 0.0000), Tl at (0.0000, 0.5000, 0.7500), Cr at (0.0000, 0.0000, 0.5000) and Cr at (0.0000, 0.5000, 0.2500).

The total magnetization is 9.90 Bohr magnetons per cell. The energy is -60.70 eV per cell. Its offset from the most stable computed form is 5 meV/atom. For the density of states at the Fermi level, the calculation gives 3.718 states/eV/f.u. The value obtained for the density is 9.6 Mg/m³.

***

9.
VASP calculation (PBEsol) on crystalline Zr2TlCr at its relaxed geometry.

The space group is Immm (No. 71) and the conventional cell measures 3.5918, 4.8678 and 8.6857 Å, with angles of 90.00, 90.00 and 90.00 degrees. The asymmetric unit holds Zr at (0.0000, 0.0000, 0.2137), Tl at (0.0000, 0.5000, 0.0000) and Cr at (0.0000, 0.5000, 0.5000).

The total magnetization is 0.00 Bohr magnetons per cell. The energy is -60.70 eV per cell. Its offset from the most stable computed form is 1 meV/atom. For the density of states at the Fermi level, the calculation gives 3.403 states/eV/f.u. The value obtained for the density is 9.6 Mg/m³.

***

10.
VASP calculation (PBEsol) on crystalline ZrTl2Cr at its relaxed geometry.

The space group is Fm-3m (No. 225) and the conventional cell measures 6.8806, 6.8806 and 6.8806 Å, with angles of 90.00, 90.00 and 90.00 degrees. The asymmetric unit holds Zr at (0.0000, 0.0000, 0.0000), Tl at (0.2500, 0.2500, 0.2500) and Cr at (0.0000, 0.0000, 0.5000).

The total magnetization is 12.95 Bohr magnetons per cell. The energy is -92.72 eV per cell. For the density of states at the Fermi level, the calculation gives 3.560 states/eV/f.u. The value obtained for the density is 11.3 Mg/m³.

***

11.
VASP calculation (PBEsol) on crystalline Zr2TlCr at its relaxed geometry.

The space group is I-4m2 (No. 119) and the conventional cell measures 4.1501, 4.1501 and 9.1138 Å, with angles of 90.00, 90.00 and 90.00 degrees. The asymmetric unit holds Zr at (0.0000, 0.0000, 0.0000), Zr at (0.0000, 0.5000, 0.2500), Tl at (0.0000, 0.5000, 0.7500) and Cr at (0.0000, 0.0000, 0.5000).

The total magnetization is 4.53 Bohr magnetons per cell. The energy is -60.70 eV per cell. Its offset from the most stable computed form is 0 meV/atom. For the density of states at the Fermi level, the calculation gives 3.590 states/eV/f.u. The value obtained for the density is 9.3 Mg/m³.

***

12.
VASP calculation (PBEsol) on crystalline ZrTl2Cr at its relaxed geometry.

The space group is Pmm2 (No. 25) and the conventional cell measures 3.3368, 3.9181 and 6.4298 Å, with angles of 90.00, 90.00 and 90.00 degrees. The asymmetric unit holds Zr at (0.0000, 0.0000, 0.0000), Tl at (0.0000, 0.0000, 0.4564), Tl at (0.5000, 0.5000, 0.7370) and Cr at (0.5000, 0.5000, 0.1968).

The total magnetization is 2.66 Bohr magnetons per cell. The energy is -23.18 eV per cell. For the density of states at the Fermi level, the calculation gives 3.067 states/eV/f.u. The value obtained for the density is 10.9 Mg/m³.

***

13.
VASP calculation (PBEsol) on crystalline ZrTlCr2 at its relaxed geometry.

The space group is P4/mmm (No. 123) and the conventional cell measures 3.2707, 3.2707 and 6.3911 Å, with angles of 90.00, 90.00 and 90.00 degrees. The asymmetric unit holds Zr at (0.0000, 0.0000, 0.0000), Tl at (0.0000, 0.0000, 0.5000) and Cr at (0.5000, 0.5000, 0.2433).

The total magnetization is 4.58 Bohr magnetons per cell. The energy is -30.37 eV per cell. Its offset from the most stable computed form is 0 meV/atom. For the density of states at the Fermi level, the calculation gives 3.337 states/eV/f.u. The value obtained for the density is 9.7 Mg/m³.

***

14.
VASP calculation (PBEsol) on crystalline Zr2TlCr at its relaxed geometry.

The space group is F-43m (No. 216) and the conventional cell measures 6.7584, 6.7584 and 6.7584 Å, with angles of 90.00, 90.00 and 90.00 degrees. The asymmetric unit holds Zr at (0.0000, 0.0000, 0.0000), Zr at (0.2500, 0.2500, 0.2500), Tl at (0.0000, 0.0000, 0.5000) and Cr at (0.2500, 0.2500, 0.7500).

The total magnetization is 4.00 Bohr magnetons per cell. The energy is -120.56 eV per cell. Its offset from the most stable computed form is 53 meV/atom. For the density of states at the Fermi level, the calculation gives 1.775 states/eV/f.u. The value obtained for the density is 9.4 Mg/m³.

***

15.
VASP calculation (PBEsol) on crystalline ZrTlCr at its relaxed geometry.

The space group is F-43m (No. 216) and the conventional cell measures 6.6046, 6.6046 and 6.6046 Å, with angles of 90.00, 90.00 and 90.00 degrees. The asymmetric unit holds Zr at (0.0000, 0.0000, 0.0000), Tl at (0.2500, 0.2500, 0.7500) and Cr at (0.2500, 0.2500, 0.2500).

The total magnetization is 17.15 Bohr magnetons per cell. The energy is -76.47 eV per cell. Its offset from the most stable computed form is 339 meV/atom. For the density of states at the Fermi level, the calculation gives 2.514 states/eV/f.u. The value obtained for the density is 8.0 Mg/m³.

***

16.
VASP calculation (PBEsol) on crystalline ZrTlCr3 at its relaxed geometry.

The space group is Pm-3m (No. 221) and the conventional cell measures 4.7252, 4.7252 and 4.7252 Å, with angles of 90.00, 90.00 and 90.00 degrees. The asymmetric unit holds Zr at (0.0000, 0.0000, 0.0000), Tl at (0.5000, 0.5000, 0.5000) and Cr at (0.0000, 0.0000, 0.5000).

The total magnetization is 9.22 Bohr magnetons per cell. The energy is -33.78 eV per cell. For the density of states at the Fermi level, the calculation gives 4.027 states/eV/f.u. The value obtained for the density is 7.1 Mg/m³.

***

17.
VASP calculation (PBEsol) on crystalline Zr2TlCr at its relaxed geometry.

The space group is Fm-3m (No. 225) and the conventional cell measures 6.7345, 6.7345 and 6.7345 Å, with angles of 90.00, 90.00 and 90.00 degrees. The asymmetric unit holds Zr at (0.2500, 0.2500, 0.2500), Tl at (0.0000, 0.0000, 0.0000) and Cr at (0.0000, 0.0000, 0.5000).

The total magnetization is 0.00 Bohr magnetons per cell. The energy is -121.11 eV per cell. Its offset from the most stable computed form is 19 meV/atom. For the density of states at the Fermi level, the calculation gives 3.723 states/eV/f.u. The value obtained for the density is 9.5 Mg/m³.

***

18.
VASP calculation (PBEsol) on crystalline ZrTlCr at its relaxed geometry.

The space group is F-43m (No. 216) and the conventional cell measures 6.4191, 6.4191 and 6.4191 Å, with angles of 90.00, 90.00 and 90.00 degrees. The asymmetric unit holds Zr at (0.0000, 0.0000, 0.0000), Tl at (0.0000, 0.0000, 0.5000) and Cr at (0.2500, 0.2500, 0.7500).

The total magnetization is 20.06 Bohr magnetons per cell. The energy is -80.53 eV per cell. Its offset from the most stable computed form is 0 meV/atom. For the density of states at the Fermi level, the calculation gives 0.202 states/eV/f.u. The value obtained for the density is 8.7 Mg/m³.

***

19.
VASP calculation (PBEsol) on crystalline VCr at its relaxed geometry.

The space group is Cmmm (No. 65) and the conventional cell measures 2.8772, 4.1327 and 4.0022 Å, with angles of 90.00, 90.00 and 90.00 degrees. The asymmetric unit holds V at (0.0000, 0.0000, 0.0000) and Cr at (0.0000, 0.5000, 0.5000).

The total magnetization is 0.00 Bohr magnetons per cell. The energy is -39.96 eV per cell. For the density of states at the Fermi level, the calculation gives 2.041 states/eV/f.u. The value obtained for the density is 7.2 Mg/m³.

***

20.
VASP calculation (PBEsol) on crystalline VCr at its relaxed geometry.

The space group is Imma (No. 74) and the conventional cell measures 2.8752, 4.0161 and 8.2559 Å, with angles of 90.00, 90.00 and 90.00 degrees. The asymmetric unit holds V at (0.0000, 0.2500, 0.1206) and Cr at (0.0000, 0.2500, 0.6299).

The total magnetization is 0.00 Bohr magnetons per cell. The energy is -80.17 eV per cell. For the density of states at the Fermi level, the calculation gives 1.756 states/eV/f.u. The value obtained for the density is 7.2 Mg/m³.